Entry 1:
VASP calculation (PBE) on an optimized crystal structure of CdIn2Si.

a b c (Å): 9.3217 9.3217 9.3217
angles (deg): 21.40 21.40 21.40
Closest atoms and distances in Å follow each position.
Element x y z (fractional)
Cd (0.0000, 0.0000, 0.0000)  3 Si 2.85, 3 In 3.14
In (0.2446, 0.2446, 0.2446)  3 Cd 3.14, 9 In 3.22-3.46
In (0.4855, 0.4855, 0.4855)  3 Si 2.92, 3 In 3.22
Si (0.7410, 0.7410, 0.7410)  3 Cd 2.85, 3 In 2.92

Values from the calculation:
space-group type	No. 160
uncorrected formation energy	0.274	eV/atom

Entry 2:
VASP calculation (PBE) on an optimized crystal structure of CdIn2Si.

a b c (Å): 7.0035 7.0035 7.0035
angles (deg): 119.89 119.89 90.20
Closest atoms and distances in Å follow each position.
Element x y z (fractional)
Cd (0.0000, 0.0000, 0.0000)  4 In 2.95
Cd (0.7500, 0.2500, 0.5000)  4 In 2.95
In (0.1635, 0.1250, 0.5385)  2 Si 2.61
In (0.3750, 0.8365, 0.9615)  2 Si 2.61
In (0.5865, 0.6250, 0.4615)  2 Si 2.61
In (0.8750, 0.4135, 0.0385)  2 Si 2.61
Si (0.2500, 0.7500, 0.5000)  4 In 2.61
Si (0.5000, 0.5000, 0.0000)  4 In 2.61

Values from the calculation:
space-group type	No. 122
uncorrected formation energy	0.369	eV/atom

Entry 3:
VASP calculation (PBE) on an optimized crystal structure of Cd2InSi2.

a b c (Å): 9.3746 9.3746 9.3746
angles (deg): 158.61 158.61 30.43
Closest atoms and distances in Å follow each position.
Element x y z (fractional)
Cd (0.1144, 0.1144, 0.0000)  4 Si 3.01, 4 In 3.22
Cd (0.8856, 0.8856, 0.0000)  4 Si 3.01, 4 In 3.22
In (0.5000, 0.5000, 0.0000)  8 Cd 3.22, 4 In 3.48
Si (0.2500, 0.7500, 0.5000)  4 Si 2.46
Si (0.7500, 0.2500, 0.5000)  4 Si 2.46

Values from the calculation:
space-group type	No. 139
uncorrected formation energy	0.237	eV/atom
energy above the lowest structure with this stoichiometry	0	meV per atom

Entry 4:
VASP calculation (PBE) on an optimized crystal structure of CdIn2Si.

a b c (Å): 3.2778 3.2778 8.6524
angles (deg): 90.00 90.00 94.56
Closest atoms and distances in Å follow each position.
Element x y z (fractional)
Cd (0.0000, 0.0000, 0.0000)  8 In 3.22-3.35, 4 Cd 3.28
In (0.5000, 0.5000, 0.2695)  4 Si 2.99-3.13, 2 Cd 3.22, 4 In 3.28
In (0.5000, 0.5000, 0.7305)  4 Si 2.99-3.13, 2 Cd 3.22, 4 In 3.28
Si (0.0000, 0.0000, 0.5000)  8 In 2.99-3.13, 4 Si 3.28

Values from the calculation:
space-group type	No. 65
uncorrected formation energy	0.246	eV/atom

Q: Which of these has the highest uncorrected formation energy?
A: number 2

Q: Look up the uncorrected formation energy of the second one.
A: 0.369 eV/atom